Here is a geometry-optimized Sr2AlInO5 structure from Alexandria via LeMat-Bulk. Energies are from PBE-GGA.

abc: 3.3365 14.1795 10.9185
angles: 90.00 90.00 90.00
Space group Cmc2_1 (No. 36)
Inequivalent atoms, fractional coordinates:
Sr (0.0000, 0.0994, 0.0000) [4 per cell]
Sr (0.0000, 0.1383, 0.6549) [4 per cell]
Al (0.0000, 0.4491, 0.7653) [4 per cell]
In (0.0000, 0.2120, 0.3662) [4 per cell]
O (0.0000, 0.0422, 0.3391) [4 per cell]
O (0.0000, 0.2856, 0.9992) [4 per cell]
O (0.0000, 0.3223, 0.7356) [4 per cell]
O (0.0000, 0.3604, 0.3347) [4 per cell]
O (0.0000, 0.4979, 0.1200) [4 per cell]

***

Here is a geometry-optimized SrAlInO4 structure from Alexandria via LeMat-Bulk. Energies are from PBE-GGA.

abc: 5.5372 5.7162 6.7264
angles: 90.00 107.47 90.00
Space group P2_1/m (No. 11)
Inequivalent atoms, fractional coordinates:
Sr (0.2223, 0.2500, 0.4391) [2 per cell]
Al (0.2300, 0.7500, 0.1639) [2 per cell]
In (0.3095, 0.2500, 0.9612) [2 per cell]
O (0.0130, 0.7500, 0.9157) [2 per cell]
O (0.0384, 0.7500, 0.3320) [2 per cell]
O (0.4644, 0.5203, 0.2059) [4 per cell]

***

Here is a geometry-optimized TaAlIn2O structure from Alexandria via LeMat-Bulk. Energies are from PBE-GGA.

abc: 5.4824 5.4824 5.0969
angles: 90.00 90.00 90.00
Space group P4/mmm (No. 123)
Inequivalent atoms, fractional coordinates:
Ta (0.0000, 0.0000, 0.0000) [1 per cell]
Al (0.0000, 0.0000, 0.5000) [1 per cell]
In (0.0000, 0.5000, 0.0000) [2 per cell]
O (0.5000, 0.5000, 0.5000) [1 per cell]

***

Here is a geometry-optimized Tb2AlInO6 structure from Alexandria via LeMat-Bulk. Energies are from PBE-GGA.

abc: 5.2360 5.2360 4.9614
angles: 90.00 90.00 90.00
Space group P4mm (No. 99)
Inequivalent atoms, fractional coordinates:
Tb (0.0000, 0.5000, 0.0000) [2 per cell]
Al (0.0000, 0.0000, 0.5978) [1 per cell]
In (0.5000, 0.5000, 0.5674) [1 per cell]
O (0.0000, 0.0000, 0.2353) [1 per cell]
O (0.2364, 0.2364, 0.7334) [4 per cell]
O (0.5000, 0.5000, 0.1542) [1 per cell]

***

Here is a geometry-optimized AlIn2TcO structure from Alexandria via LeMat-Bulk. Energies are from PBE-GGA.

abc: 4.9021 4.9021 3.5020
angles: 90.00 90.00 90.00
Space group P4/mmm (No. 123)
Inequivalent atoms, fractional coordinates:
Al (0.0000, 0.0000, 0.0000) [1 per cell]
In (0.0000, 0.5000, 0.5000) [2 per cell]
Tc (0.5000, 0.5000, 0.0000) [1 per cell]
O (0.0000, 0.0000, 0.5000) [1 per cell]

***

Here is a geometry-optimized Al2InTeO8 structure from Alexandria via LeMat-Bulk. Energies are from PBE-GGA.

abc: 6.4762 6.4888 6.2030
angles: 90.00 90.00 90.00
Space group Cmmm (No. 65)
Inequivalent atoms, fractional coordinates:
Al (0.0000, 0.0000, 0.2485) [4 per cell]
In (0.0000, 0.5000, 0.5000) [2 per cell]
Te (0.0000, 0.5000, 0.0000) [2 per cell]
O (0.0000, 0.2948, 0.2281) [8 per cell]
O (0.1741, 0.0000, 0.5000) [4 per cell]
O (0.1950, 0.0000, 0.0000) [4 per cell]

***

Here is a geometry-optimized AlInTeO6 structure from Alexandria via LeMat-Bulk. Energies are from PBE-GGA.

abc: 5.0596 5.0596 9.3203
angles: 90.00 90.00 120.00
Space group P-31c (No. 163)
Inequivalent atoms, fractional coordinates:
Al (0.3333, 0.6667, 0.2500) [2 per cell]
In (0.0000, 0.0000, 0.0000) [2 per cell]
Te (0.3333, 0.6667, 0.7500) [2 per cell]
O (0.0044, 0.3628, 0.1371) [12 per cell]

***

Here is a geometry-optimized TiAlIn2O6 structure from Alexandria via LeMat-Bulk. Energies are from PBE-GGA.

abc: 5.3215 5.3215 13.7876
angles: 90.00 90.00 120.00
Space group R3 (No. 146, hexagonal axes)
Inequivalent atoms, fractional coordinates:
Ti (0.0000, 0.0000, 0.0000) [3 per cell]
Al (0.0000, 0.0000, 0.4973) [3 per cell]
In (0.0000, 0.0000, 0.2746) [3 per cell]
In (0.0000, 0.0000, 0.7802) [3 per cell]
O (0.0613, 0.7250, 0.5669) [9 per cell]
O (0.0690, 0.3532, 0.0706) [9 per cell]

***

Here is a geometry-optimized AlTl2InO6 structure from Alexandria via LeMat-Bulk. Energies are from PBE-GGA.

abc: 5.5130 5.5130 14.2309
angles: 90.00 90.00 120.00
Space group R3 (No. 146, hexagonal axes)
Inequivalent atoms, fractional coordinates:
Al (0.0000, 0.0000, 0.0000) [3 per cell]
Tl (0.0000, 0.0000, 0.2795) [3 per cell]
Tl (0.0000, 0.0000, 0.7756) [3 per cell]
In (0.0000, 0.0000, 0.5048) [3 per cell]
O (0.0088, 0.3943, 0.7368) [9 per cell]
O (0.0732, 0.7010, 0.5787) [9 per cell]

***

Here is a geometry-optimized AlTl2InO4 structure from Alexandria via LeMat-Bulk. Energies are from PBE-GGA.

abc: 5.6223 11.9987 20.6807
angles: 90.00 90.00 90.00
Space group Fddd (No. 70, origin choice 2)
Inequivalent atoms, fractional coordinates:
Al (0.1250, 0.1250, 0.1250) [8 per cell]
Tl (0.1250, 0.1250, 0.4322) [16 per cell]
In (0.1250, 0.1250, 0.6250) [8 per cell]
O (0.0907, 0.2772, 0.3422) [32 per cell]

***

Here is a geometry-optimized Tm2AlInO6 structure from Alexandria via LeMat-Bulk. Energies are from PBE-GGA.

abc: 5.1797 5.1797 4.9858
angles: 90.00 90.00 90.00
Space group P4mm (No. 99)
Inequivalent atoms, fractional coordinates:
Tm (0.0000, 0.5000, 0.0000) [2 per cell]
Al (0.0000, 0.0000, 0.6095) [1 per cell]
In (0.5000, 0.5000, 0.5726) [1 per cell]
O (0.0000, 0.0000, 0.2491) [1 per cell]
O (0.2372, 0.2372, 0.7495) [4 per cell]
O (0.5000, 0.5000, 0.1640) [1 per cell]

***

Here is a geometry-optimized TmAlIn2O6 structure from Alexandria via LeMat-Bulk. Energies are from PBE-GGA.

abc: 5.4087 5.4087 14.4523
angles: 90.00 90.00 120.00
Space group R3 (No. 146, hexagonal axes)
Inequivalent atoms, fractional coordinates:
Tm (0.0000, 0.0000, 0.0000) [3 per cell]
Al (0.0000, 0.0000, 0.4901) [3 per cell]
In (0.0000, 0.0000, 0.2784) [3 per cell]
In (0.0000, 0.0000, 0.7860) [3 per cell]
O (0.0046, 0.3755, 0.2246) [9 per cell]
O (0.0577, 0.6753, 0.0674) [9 per cell]

***

Here is a geometry-optimized UAlInO6 structure from Alexandria via LeMat-Bulk. Energies are from PBE-GGA.

abc: 5.2689 5.2689 9.2439
angles: 90.00 90.00 120.00
Space group P-31c (No. 163)
Inequivalent atoms, fractional coordinates:
U (0.3333, 0.6667, 0.2500) [2 per cell]
Al (0.3333, 0.6667, 0.7500) [2 per cell]
In (0.0000, 0.0000, 0.0000) [2 per cell]
O (0.0226, 0.3603, 0.6360) [12 per cell]

***

Calculated energy relative to the elements, uncorrected, -22.5 -16.5 6.3 -27.4 -1.1 -21.4 -15.7 -21.6 -14.2 -11.0 -27.4 -23.8 -23.0 eV per formula unit (same order as the records).
Calculated spin magnetization, 0.000 0.000 1.441 0.000 0.000 0.853 0.000 0.714 0.000 0.000 0.000 0.000 0.000 μB/f.u. (same order as the records).